[1]
## GaHWCl2 (PBE)

Data for a relaxed GaHWCl2 crystal.

Structure (CIF):
```
data_GaHWCl2
_symmetry_space_group_name_H-M 'P 4/m m m'
_symmetry_Int_Tables_number 123
_symmetry_space_group_name_Hall '-P 4 2'
_cell_length_a 5.208
_cell_length_b 5.208
_cell_length_c 3.544
_cell_angle_alpha 90.00
_cell_angle_beta 90.00
_cell_angle_gamma 90.00
loop_
_atom_site_label
_atom_site_fract_x
_atom_site_fract_y
_atom_site_fract_z
Ga1 0.000 0.000 0.000
H1 0.500 0.500 0.500
W1 0.500 0.500 0.000
Cl1 0.000 0.500 0.500
```

***

[2]
## Pr2PuURu2 (PBE)

Data for a relaxed Pr2PuURu2 crystal.

E_form (eV per atom): -0.107

Structure (CIF):
```
data_Pr2PuURu2
_symmetry_space_group_name_H-M 'I b a m'
_symmetry_Int_Tables_number 72
_symmetry_space_group_name_Hall '-I 2 2c'
_cell_length_a 7.140
_cell_length_b 12.806
_cell_length_c 6.950
_cell_angle_alpha 90.00
_cell_angle_beta 90.00
_cell_angle_gamma 90.00
loop_
_atom_site_label
_atom_site_fract_x
_atom_site_fract_y
_atom_site_fract_z
Pr1 0.248 0.190 0.000
Pu1 0.000 0.000 0.250
U1 0.000 0.500 0.250
Ru1 0.227 0.428 0.000
```

***

[3]
## LiFeCuNi (PBE)

Data for a relaxed LiFeCuNi crystal.

E_form (eV per atom): 0.093

Structure (CIF):
```
data_LiFeCuNi
_symmetry_space_group_name_H-M 'F -4 3 m'
_symmetry_Int_Tables_number 216
_symmetry_space_group_name_Hall 'F -4 2 3'
_cell_length_a 5.720
_cell_length_b 5.720
_cell_length_c 5.720
_cell_angle_alpha 90.00
_cell_angle_beta 90.00
_cell_angle_gamma 90.00
loop_
_atom_site_label
_atom_site_fract_x
_atom_site_fract_y
_atom_site_fract_z
Li1 0.000 0.000 0.000
Fe1 0.000 0.000 0.500
Cu1 0.250 0.250 0.750
Ni1 0.250 0.250 0.250
```

***

[4]
## SbAuCl (PBE)

Data for a relaxed SbAuCl crystal.

Formation energy from raw total energies (kJ per mole of atoms): -24.7
Offset from the most stable computed form (meV per atom): 2

Structure (CIF):
```
data_SbAuCl
_symmetry_space_group_name_H-M 'P -1'
_symmetry_Int_Tables_number 2
_symmetry_space_group_name_Hall '-P 1'
_cell_length_a 4.711
_cell_length_b 4.712
_cell_length_c 10.166
_cell_angle_alpha 90.74
_cell_angle_beta 90.47
_cell_angle_gamma 102.08
loop_
_atom_site_label
_atom_site_fract_x
_atom_site_fract_y
_atom_site_fract_z
Sb1 0.184 0.186 0.138
Au1 0.303 0.698 0.001
Cl1 0.255 0.256 0.371
```

***

Number 1: total magnetization 4.0 μB per formula unit, final energy -3.95 eV per atom. Number 2: total magnetization 6.5 μB per formula unit, final energy -9.06 eV per atom. Number 3: total magnetization 3.4 μB per formula unit, final energy -4.97 eV per atom. Number 4: total magnetization 0.0 μB per formula unit, final energy -3.34 eV per atom.